Here is HfNb2FeO after structural relaxation from Alexandria. Energies are from PBE+U.

Calculated values
As for the magnetization: 3.67 μB/f.u. The value obtained for the density of states at the Fermi level is 1.265 states/eV/atom. The value obtained for the calculated total energy is -7.264 eV/atom. Its space group is P4/mmm (123).

abc: 5.2664 3.8787 5.2664
angles: 90.00 90.00 90.00
Positions (direct):
Hf 0.0000 0.0000 0.0000
O 0.0000 0.5000 0.0000
Fe 0.5000 0.5000 0.5000
Nb 0.0000 0.0000 0.5000
Nb 0.5000 0.0000 0.0000